[1]
Density functional theory data (PBE-GGA) for a geometry-optimized Al3GaMo structure.

Results
excess energy over the best structure of this formula in the dataset: 0 meV/atom
formation energy: -0.0638 eV/atom

Lattice parameters (Å, degrees): 6.1673 7.1644 7.6724 90.00 90.00 90.00
Space group Pnma (No. 62)
Inequivalent atoms, fractional coordinates:
1 Al 0.1331 0.2500 0.2002 x4
2 Al 0.1345 0.0707 0.8196 x8
3 Ga 0.0000 0.0000 0.5000 x4
4 Mo 0.1940 0.7500 0.0124 x4


[2]
Density functional theory data (PBE-GGA) for a geometry-optimized YPuTh2S4 structure.

Results
formation energy from raw total energies: -1.869 eV/atom

Lattice parameters (Å, degrees): 6.8359 3.9520 7.0150 90.00 109.01 90.00
Space group P2/m (No. 10)
Inequivalent atoms, fractional coordinates:
1 Y 0.0000 0.0000 0.0000 x1
2 Pu 0.5000 0.5000 0.0000 x1
3 Th 0.0000 0.5000 0.5000 x1
4 Th 0.5000 0.0000 0.5000 x1
5 S 0.2444 0.5000 0.2375 x2
6 S 0.2530 0.0000 0.7628 x2


[3]
Density functional theory data (PBE-GGA) for a geometry-optimized Tl2AgPt structure.

Results
excess energy over the best structure of this formula in the dataset: 70 meV/atom
formation energy: 0.1345 eV/atom

Lattice parameters (Å, degrees): 6.9651 6.9651 6.9651 90.00 90.00 90.00
Space group Fm-3m (No. 225)
Inequivalent atoms, fractional coordinates:
1 Tl 0.2500 0.2500 0.2500 x8
2 Ag 0.0000 0.0000 0.0000 x4
3 Pt 0.0000 0.0000 0.5000 x4


[4]
Density functional theory data (PBE-GGA) for a geometry-optimized Ba2NbSnRu structure.

Results
formation energy: 0.7685 eV/atom

Lattice parameters (Å, degrees): 5.8285 5.8285 5.1781 90.00 90.00 90.00
Space group P4/mmm (No. 123)
Inequivalent atoms, fractional coordinates:
1 Ba 0.0000 0.5000 0.0000 x2
2 Nb 0.0000 0.0000 0.5000 x1
3 Sn 0.5000 0.5000 0.5000 x1
4 Ru 0.5000 0.5000 0.0000 x1


In the order shown, the computed M_tot values come out to 0.00 5.40 0.00 4.53 μB/f.u..
In the order shown, the computed D(E_F) values come out to 1.778 8.736 1.570 4.944 states/eV/f.u..
In the order shown, the computed final energy values come out to -5.081 -8.387 -3.272 -4.670 eV/atom.